1.
8
Lattice="7.839 0.000 0.000 0.000 4.362 0.000 -2.414 0.000 7.481" Properties=species:S:1:pos:R:3 comment="Na2ZrTe4Pb | Alexandria via LeMat-Bulk | GGA-PBE | relaxed" n_ef_per_ev_fu=0.2 pbc="T T T"
Na 0.000 0.000 0.000
Na 3.919 2.181 0.000
Zr -1.207 2.181 3.741
Te -0.011 0.000 5.400
Te 1.144 2.181 1.999
Te 4.280 2.181 5.483
Te 5.435 0.000 2.082
Pb 2.712 0.000 3.741


2.
First-principles (GGA-PBE) data for crystalline Na2ZrTe6Pb3 at its relaxed geometry, as listed in Alexandria via LeMat-Bulk.

extended XYZ file:
```
12
Lattice="3.951 -6.803 0.000 3.951 6.803 0.000 -2.594 0.000 7.358" Properties=species:S:1:pos:R:3 pbc="T T T"
Na 3.951 4.524 0.000
Na 3.951 -4.524 0.000
Zr 3.951 0.000 0.000
Te 0.126 2.084 5.672
Te 1.519 0.000 1.756
Te 0.126 -2.084 5.672
Te 5.181 2.084 1.686
Te 3.788 0.000 5.602
Te 5.181 -2.084 1.686
Pb -1.297 0.000 3.679
Pb 2.654 2.233 3.679
Pb 2.654 -2.233 3.679
```


3.
12
Lattice="3.875 -6.722 0.000 3.875 6.722 0.000 -2.623 0.000 7.480" Properties=species:S:1:pos:R:3 comment="Na3ZrTe6Pb2 | Alexandria via LeMat-Bulk | GGA-PBE | relaxed" n_ef_per_ev_fu=5.8 pbc="T T T"
Na 0.000 0.000 0.000
Na 3.875 2.414 0.000
Na 3.875 -2.414 0.000
Zr 2.564 0.000 3.740
Te 1.383 2.072 2.010
Te 0.199 0.000 5.496
Te 1.383 -2.072 2.010
Te 3.745 2.072 5.470
Te 4.929 0.000 1.985
Te 3.745 -2.072 5.470
Pb 2.564 4.518 3.740
Pb 2.564 -4.518 3.740


| no. | electronic total energy (hartree per atom) | formation energy from raw total energies (eV per atom) | total magnetic moment (μB/cell) |
| --- | --- | --- | --- |
| 1 | -0.155 | -0.78 | 0.00 |
| 2 | -0.150 | -0.64 | 0.00 |
| 3 | -0.144 | -0.69 | 0.00 |